Arrangement w

VASP calculation (GGA-PBE) on crystalline Tb2SmCu4Sn2Ge2 at its relaxed geometry.

Computed properties:
Magnetic moment ... 0.0 μB per cell
Space group ... No. 71

```
data_Tb2SmCu4Sn2Ge2
_symmetry_space_group_name_H-M 'P 1'
_symmetry_Int_Tables_number 1
_cell_length_a 8.2818
_cell_length_b 8.2818
_cell_length_c 8.2818
_cell_angle_alpha 149.90
_cell_angle_beta 130.15
_cell_angle_gamma 59.34
loop_
_symmetry_equiv_pos_as_xyz
'x,y,z'
loop_
_atom_site_label
_atom_site_type_symbol
_atom_site_fract_x
_atom_site_fract_y
_atom_site_fract_z
Tb1 Tb 0.6366 0.1366 0.5000
Tb2 Tb 0.3634 0.8634 0.5000
Cu1 Cu 0.9892 0.6750 0.3142
Cu2 Cu 0.6392 0.3250 0.3142
Cu3 Cu 0.3608 0.6750 0.6858
Cu4 Cu 0.0108 0.3250 0.6858
Sn1 Sn 0.6986 0.5000 0.1986
Sn2 Sn 0.3014 0.5000 0.8014
Sm1 Sm 0.0000 0.0000 0.0000
Ge1 Ge 0.2176 0.2176 0.0000
Ge2 Ge 0.7824 0.7824 0.0000
```

=====

Arrangement x

VASP calculation (GGA-PBE) on crystalline Tb2SmCu4Sn2Ge2 at its relaxed geometry.

Computed properties:
Magnetic moment ... 0.0 μB per cell
Space group ... No. 71

```
data_Tb2SmCu4Sn2Ge2
_symmetry_space_group_name_H-M 'P 1'
_symmetry_Int_Tables_number 1
_cell_length_a 8.3190
_cell_length_b 8.3190
_cell_length_c 8.3190
_cell_angle_alpha 149.52
_cell_angle_beta 132.08
_cell_angle_gamma 57.86
loop_
_symmetry_equiv_pos_as_xyz
'x,y,z'
loop_
_atom_site_label
_atom_site_type_symbol
_atom_site_fract_x
_atom_site_fract_y
_atom_site_fract_z
Cu1 Cu 0.0293 0.3409 0.6884
Cu2 Cu 0.3475 0.6591 0.6884
Cu3 Cu 0.6525 0.3409 0.3116
Cu4 Cu 0.9707 0.6591 0.3116
Ge1 Ge 0.6885 0.5000 0.1885
Ge2 Ge 0.3115 0.5000 0.8115
Tb1 Tb 0.6257 0.1257 0.5000
Tb2 Tb 0.3743 0.8743 0.5000
Sn1 Sn 0.2187 0.2187 0.0000
Sn2 Sn 0.7813 0.7813 0.0000
Sm1 Sm 0.0000 0.0000 0.0000
```

=====

Energies in kJ/mol of atoms, measured from the most stable structure: arrangement w 7.1; arrangement x 0.0.

=====

Arrangement w

VASP calculation (GGA-PBE) on crystalline TaZnCuGe at its relaxed geometry.

Computed properties:
Magnetic moment ... 0.3 μB per cell
Space group ... No. 216

```
data_TaZnCuGe
_symmetry_space_group_name_H-M 'P 1'
_symmetry_Int_Tables_number 1
_cell_length_a 4.4375
_cell_length_b 4.4375
_cell_length_c 4.4375
_cell_angle_alpha 60.00
_cell_angle_beta 60.00
_cell_angle_gamma 60.00
loop_
_symmetry_equiv_pos_as_xyz
'x,y,z'
loop_
_atom_site_label
_atom_site_type_symbol
_atom_site_fract_x
_atom_site_fract_y
_atom_site_fract_z
Ta1 Ta 0.2500 0.2500 0.2500
Ge1 Ge 0.0000 0.0000 0.0000
Cu1 Cu 0.7500 0.7500 0.7500
Zn1 Zn 0.5000 0.5000 0.5000
```

=====

Arrangement x

VASP calculation (GGA-PBE) on crystalline TaZnCuGe at its relaxed geometry.

Computed properties:
Magnetic moment ... 0.2 μB per cell
Space group ... No. 216

```
data_TaZnCuGe
_symmetry_space_group_name_H-M 'P 1'
_symmetry_Int_Tables_number 1
_cell_length_a 4.4638
_cell_length_b 4.4638
_cell_length_c 4.4638
_cell_angle_alpha 60.00
_cell_angle_beta 60.00
_cell_angle_gamma 60.00
loop_
_symmetry_equiv_pos_as_xyz
'x,y,z'
loop_
_atom_site_label
_atom_site_type_symbol
_atom_site_fract_x
_atom_site_fract_y
_atom_site_fract_z
Cu1 Cu 0.7500 0.7500 0.7500
Zn1 Zn 0.2500 0.2500 0.2500
Ge1 Ge 0.0000 0.0000 0.0000
Ta1 Ta 0.5000 0.5000 0.5000
```

=====

Energies in kJ/mol of atoms, measured from the most stable structure: arrangement w 0.0; arrangement x 21.1.

=====

Arrangement w

VASP calculation (GGA-PBE) on crystalline TbCuGeTe3 at its relaxed geometry.

Computed properties:
Magnetic moment ... 0.0 μB per cell
Space group ... No. 63

```
data_TbCuGeTe3
_symmetry_space_group_name_H-M 'P 1'
_symmetry_Int_Tables_number 1
_cell_length_a 7.4236
_cell_length_b 7.4236
_cell_length_c 11.1179
_cell_angle_alpha 90.00
_cell_angle_beta 90.00
_cell_angle_gamma 32.37
loop_
_symmetry_equiv_pos_as_xyz
'x,y,z'
loop_
_atom_site_label
_atom_site_type_symbol
_atom_site_fract_x
_atom_site_fract_y
_atom_site_fract_z
Te1 Te 0.9058 0.9058 0.7500
Te2 Te 0.0942 0.0942 0.2500
Te3 Te 0.3499 0.3499 0.0733
Te4 Te 0.6501 0.6501 0.9267
Te5 Te 0.3499 0.3499 0.4267
Te6 Te 0.6501 0.6501 0.5733
Ge1 Ge 0.2196 0.2196 0.7500
Ge2 Ge 0.7804 0.7804 0.2500
Tb1 Tb 0.0000 0.0000 0.0000
Tb2 Tb 0.0000 0.0000 0.5000
Cu1 Cu 0.5247 0.5247 0.7500
Cu2 Cu 0.4753 0.4753 0.2500
```

=====

Arrangement x

VASP calculation (GGA-PBE) on crystalline TbCuGeTe3 at its relaxed geometry.

Computed properties:
Magnetic moment ... 0.0 μB per cell
Space group ... No. 62

```
data_TbCuGeTe3
_symmetry_space_group_name_H-M 'P 1'
_symmetry_Int_Tables_number 1
_cell_length_a 12.3635
_cell_length_b 4.3663
_cell_length_c 12.5709
_cell_angle_alpha 90.00
_cell_angle_beta 90.00
_cell_angle_gamma 90.00
loop_
_symmetry_equiv_pos_as_xyz
'x,y,z'
loop_
_atom_site_label
_atom_site_type_symbol
_atom_site_fract_x
_atom_site_fract_y
_atom_site_fract_z
Tb1 Tb 0.0322 0.0000 0.6914
Tb2 Tb 0.5322 0.0000 0.8086
Tb3 Tb 0.4678 0.5000 0.1914
Tb4 Tb 0.9678 0.5000 0.3086
Te1 Te 0.6006 0.0000 0.0591
Te2 Te 0.9617 0.0000 0.1316
Te3 Te 0.2131 0.5000 0.1878
Te4 Te 0.8994 0.5000 0.5591
Te5 Te 0.3994 0.5000 0.9409
Te6 Te 0.1006 0.0000 0.4409
Te7 Te 0.2869 0.0000 0.6878
Te8 Te 0.0383 0.5000 0.8684
Te9 Te 0.7131 0.5000 0.3122
Te10 Te 0.5383 0.5000 0.6316
Te11 Te 0.7869 0.0000 0.8122
Te12 Te 0.4617 0.0000 0.3684
Ge1 Ge 0.7230 0.0000 0.5892
Ge2 Ge 0.7770 0.5000 0.0892
Ge3 Ge 0.2230 0.0000 0.9108
Ge4 Ge 0.2770 0.5000 0.4108
Cu1 Cu 0.2305 0.5000 0.7889
Cu2 Cu 0.2695 0.0000 0.2889
Cu3 Cu 0.7305 0.5000 0.7111
Cu4 Cu 0.7695 0.0000 0.2111
```

=====

Energies in kJ/mol of atoms, measured from the most stable structure: arrangement w 1.5; arrangement x 0.0.

=====

Arrangement w

VASP calculation (GGA-PBE) on crystalline ZnCuTcGe at its relaxed geometry.

Computed properties:
Magnetic moment ... 0.0 μB per cell
Space group ... No. 216

```
data_ZnCuTcGe
_symmetry_space_group_name_H-M 'P 1'
_symmetry_Int_Tables_number 1
_cell_length_a 4.3316
_cell_length_b 4.3316
_cell_length_c 4.3316
_cell_angle_alpha 60.00
_cell_angle_beta 60.00
_cell_angle_gamma 60.00
loop_
_symmetry_equiv_pos_as_xyz
'x,y,z'
loop_
_atom_site_label
_atom_site_type_symbol
_atom_site_fract_x
_atom_site_fract_y
_atom_site_fract_z
Ge1 Ge 0.0000 0.0000 0.0000
Zn1 Zn 0.2500 0.2500 0.2500
Tc1 Tc 0.5000 0.5000 0.5000
Cu1 Cu 0.7500 0.7500 0.7500
```

=====

Arrangement x

VASP calculation (GGA-PBE) on crystalline ZnCuTcGe at its relaxed geometry.

Computed properties:
Magnetic moment ... 0.0 μB per cell
Space group ... No. 216

```
data_ZnCuTcGe
_symmetry_space_group_name_H-M 'P 1'
_symmetry_Int_Tables_number 1
_cell_length_a 4.2822
_cell_length_b 4.2822
_cell_length_c 4.2822
_cell_angle_alpha 60.00
_cell_angle_beta 60.00
_cell_angle_gamma 60.00
loop_
_symmetry_equiv_pos_as_xyz
'x,y,z'
loop_
_atom_site_label
_atom_site_type_symbol
_atom_site_fract_x
_atom_site_fract_y
_atom_site_fract_z
Zn1 Zn 0.5000 0.5000 0.5000
Tc1 Tc 0.2500 0.2500 0.2500
Ge1 Ge 0.0000 0.0000 0.0000
Cu1 Cu 0.7500 0.7500 0.7500
```

=====

Energies in kJ/mol of atoms, measured from the most stable structure: arrangement w 32.9; arrangement x 0.0.

=====

Arrangement w

VASP calculation (GGA-PBE) on crystalline TmCuGeTe3 at its relaxed geometry.

Computed properties:
Magnetic moment ... 0.0 μB per cell
Space group ... No. 63

```
data_TmCuGeTe3
_symmetry_space_group_name_H-M 'P 1'
_symmetry_Int_Tables_number 1
_cell_length_a 7.3750
_cell_length_b 7.3750
_cell_length_c 10.9449
_cell_angle_alpha 90.00
_cell_angle_beta 90.00
_cell_angle_gamma 147.61
loop_
_symmetry_equiv_pos_as_xyz
'x,y,z'
loop_
_atom_site_label
_atom_site_type_symbol
_atom_site_fract_x
_atom_site_fract_y
_atom_site_fract_z
Tm1 Tm 0.0000 0.0000 0.5000
Tm2 Tm 0.0000 0.0000 0.0000
Te1 Te 0.9057 0.0943 0.2500
Te2 Te 0.6488 0.3512 0.0691
Te3 Te 0.6488 0.3512 0.4309
Te4 Te 0.3512 0.6488 0.5691
Te5 Te 0.0943 0.9057 0.7500
Te6 Te 0.3512 0.6488 0.9309
Cu1 Cu 0.5252 0.4748 0.2500
Cu2 Cu 0.4748 0.5252 0.7500
Ge1 Ge 0.2209 0.7791 0.2500
Ge2 Ge 0.7791 0.2209 0.7500
```

=====

Arrangement x

VASP calculation (GGA-PBE) on crystalline TmCuGeTe3 at its relaxed geometry.

Computed properties:
Magnetic moment ... 0.0 μB per cell
Space group ... No. 62

```
data_TmCuGeTe3
_symmetry_space_group_name_H-M 'P 1'
_symmetry_Int_Tables_number 1
_cell_length_a 4.3023
_cell_length_b 12.0220
_cell_length_c 12.2037
_cell_angle_alpha 90.00
_cell_angle_beta 90.00
_cell_angle_gamma 90.00
loop_
_symmetry_equiv_pos_as_xyz
'x,y,z'
loop_
_atom_site_label
_atom_site_type_symbol
_atom_site_fract_x
_atom_site_fract_y
_atom_site_fract_z
Ge1 Ge 0.7500 0.6741 0.5018
Ge2 Ge 0.2500 0.3259 0.4982
Ge3 Ge 0.7500 0.1741 0.9982
Ge4 Ge 0.2500 0.8259 0.0018
Te1 Te 0.7500 0.2863 0.6775
Te2 Te 0.7500 0.1037 0.4372
Te3 Te 0.7500 0.4608 0.3759
Te4 Te 0.2500 0.7137 0.3225
Te5 Te 0.2500 0.2137 0.1775
Te6 Te 0.2500 0.8963 0.5628
Te7 Te 0.7500 0.7863 0.8225
Te8 Te 0.7500 0.9608 0.1241
Te9 Te 0.7500 0.6037 0.0628
Te10 Te 0.2500 0.0392 0.8759
Te11 Te 0.2500 0.5392 0.6241
Te12 Te 0.2500 0.3963 0.9372
Cu1 Cu 0.2500 0.2380 0.7931
Cu2 Cu 0.2500 0.7379 0.7069
Cu3 Cu 0.7500 0.2620 0.2931
Cu4 Cu 0.7500 0.7620 0.2069
Tm1 Tm 0.2500 0.9765 0.3121
Tm2 Tm 0.7500 0.5235 0.8121
Tm3 Tm 0.2500 0.4765 0.1879
Tm4 Tm 0.7500 0.0235 0.6879
```

=====

Energies in kJ/mol of atoms, measured from the most stable structure: arrangement w 0.0; arrangement x 3.9.

=====

Arrangement w

VASP calculation (GGA-PBE) on crystalline YCuGeW at its relaxed geometry.

Computed properties:
Magnetic moment ... 0.0 μB per cell
Space group ... No. 216

```
data_YCuGeW
_symmetry_space_group_name_H-M 'P 1'
_symmetry_Int_Tables_number 1
_cell_length_a 4.6325
_cell_length_b 4.6325
_cell_length_c 4.6325
_cell_angle_alpha 60.00
_cell_angle_beta 60.00
_cell_angle_gamma 60.00
loop_
_symmetry_equiv_pos_as_xyz
'x,y,z'
loop_
_atom_site_label
_atom_site_type_symbol
_atom_site_fract_x
_atom_site_fract_y
_atom_site_fract_z
W1 W 0.2500 0.2500 0.2500
Ge1 Ge 0.0000 0.0000 0.0000
Cu1 Cu 0.7500 0.7500 0.7500
Y1 Y 0.5000 0.5000 0.5000
```

=====

Arrangement x

VASP calculation (GGA-PBE) on crystalline YCuGeW at its relaxed geometry.

Computed properties:
Magnetic moment ... 1.5 μB per cell
Space group ... No. 216

```
data_YCuGeW
_symmetry_space_group_name_H-M 'P 1'
_symmetry_Int_Tables_number 1
_cell_length_a 4.7222
_cell_length_b 4.7222
_cell_length_c 4.7222
_cell_angle_alpha 60.00
_cell_angle_beta 60.00
_cell_angle_gamma 60.00
loop_
_symmetry_equiv_pos_as_xyz
'x,y,z'
loop_
_atom_site_label
_atom_site_type_symbol
_atom_site_fract_x
_atom_site_fract_y
_atom_site_fract_z
Cu1 Cu 0.7500 0.7500 0.7500
Ge1 Ge 0.0000 0.0000 0.0000
Y1 Y 0.2500 0.2500 0.2500
W1 W 0.5000 0.5000 0.5000
```

=====

Energies in kJ/mol of atoms, measured from the most stable structure: arrangement w 0.0; arrangement x 23.2.